No. 1
VASP calculation (PBE) on crystalline InGaBr at its relaxed geometry.

abc: 4.1158 6.2724 7.5000
angles: 88.78 88.73 71.02
Closest atoms and distances in Å follow each position.
Fractional positions:
In (0.6882, 0.7904, 0.2752)  1 Br 2.80, 2 Ga 2.88-2.92, 1 In 3.11
In (0.1151, 0.9264, 0.9734)  2 Ga 2.93-3.00, 2 Br 3.07-3.18, 2 In 3.11-3.20
Ga (0.5350, 0.0841, 0.7166)  1 Br 2.57, 2 Ga 2.68-2.70
Ga (0.0988, 0.9654, 0.5075)  2 Ga 2.68-2.70, 1 Br 2.80, 2 In 2.88-2.92
Br (0.9307, 0.3193, 0.2566)  1 Ga 2.80, 1 In 2.80
Br (0.3205, 0.5170, 0.7283)  1 Ga 2.57

- DFT total energy (eV per cell) = -16.65
- raw formation energy (kJ/mol of formula units) = -86
- distance to the lowest polymorph of the same formula (meV per atom) = 10



No. 2
VASP calculation (PBE) on crystalline In2GaBr at its relaxed geometry.

abc: 3.9622 6.7554 9.4463
angles: 83.74 79.87 72.59
Closest atoms and distances in Å follow each position.
Fractional positions:
In (0.4922, 0.8609, 0.7848)  1 Br 2.88, 2 Ga 2.91, 2 In 3.06
In (0.3924, 0.5527, 0.2602)  2 Ga 2.88-2.92, 1 Br 2.99, 2 In 3.16-3.22
In (0.8242, 0.2220, 0.7454)  1 Br 2.88, 3 Ga 2.94-3.16, 2 In 3.06
In (0.0735, 0.4245, 0.0119)  1 Ga 3.01, 1 Br 3.09, 2 In 3.16-3.22
Ga (0.1821, 0.5621, 0.6980)  2 Ga 2.75-2.83, 5 In 2.91-3.01
Ga (0.7849, 0.5628, 0.4870)  1 Br 2.73, 2 Ga 2.75-2.83, 2 In 2.88-2.92
Br (0.3505, 0.9527, 0.0834)  3 In 2.88-3.09
Br (0.0051, 0.1476, 0.4428)  1 Ga 2.73, 1 In 2.88

- DFT total energy (eV per cell) = -21.85
- raw formation energy (kJ/mol of formula units) = -72
- distance to the lowest polymorph of the same formula (meV per atom) = 14



No. 3
VASP calculation (PBE) on crystalline InGaBr at its relaxed geometry.

abc: 3.7309 7.3947 7.5577
angles: 72.19 75.52 74.61
Closest atoms and distances in Å follow each position.
Fractional positions:
In (0.6191, 0.2291, 0.2791)  2 Ga 2.91-2.92, 1 Br 2.93, 2 In 3.16-3.23
In (0.2882, 0.8620, 0.2942)  2 Ga 2.98-3.02, 2 In 3.16-3.23, 1 Br 3.22
Ga (0.8301, 0.4677, 0.6143)  3 Br 2.55-2.70, 1 Ga 2.66
Ga (0.9731, 0.5518, 0.2381)  1 Ga 2.66, 2 In 2.91-2.92
Br (0.8412, 0.1714, 0.8964)  1 Ga 2.55
Br (0.1551, 0.6752, 0.7436)  2 Ga 2.70

- DFT total energy (eV per cell) = -16.55
- raw formation energy (kJ/mol of formula units) = -81
- distance to the lowest polymorph of the same formula (meV per atom) = 27



No. 4
VASP calculation (PBE) on crystalline In6GaBr8 at its relaxed geometry.

abc: 4.7520 11.1960 11.1960
angles: 120.00 90.00 90.00
Closest atoms and distances in Å follow each position.
Fractional positions:
In (0.7580, 0.6594, 0.1167)  3 Br 2.97-3.13
In (0.7580, 0.8833, 0.5427)  3 Br 2.97-3.13
In (0.7580, 0.4573, 0.3406)  3 Br 2.97-3.13
In (0.2420, 0.3406, 0.8833)  3 Br 2.97-3.13
In (0.2420, 0.1167, 0.4573)  3 Br 2.97-3.13
In (0.2420, 0.5427, 0.6594)  3 Br 2.97-3.13
Ga (0.5000, 0.0000, 0.0000)  6 Br 3.28
Br (0.7426, 0.9653, 0.2554)  3 In 2.97-3.13, 1 Ga 3.28
Br (0.7426, 0.7446, 0.7099)  3 In 2.97-3.13, 1 Ga 3.28
Br (0.7426, 0.2901, 0.0347)  3 In 2.97-3.13, 1 Ga 3.28
Br (0.2574, 0.0347, 0.7446)  3 In 2.97-3.13, 1 Ga 3.28
Br (0.2574, 0.2554, 0.2901)  3 In 2.97-3.13, 1 Ga 3.28
Br (0.2574, 0.7099, 0.9653)  3 In 2.97-3.13, 1 Ga 3.28
Br (0.7416, 0.3333, 0.6667)  6 In 3.37
Br (0.2584, 0.6667, 0.3333)  6 In 3.37

- DFT total energy (eV per cell) = -41.57
- raw formation energy (kJ/mol of formula units) = -843



Number 1 is which compound?
InGaBr



What did the second record say?
VASP calculation (PBE) on crystalline In2GaBr at its relaxed geometry.

abc: 3.9622 6.7554 9.4463
angles: 83.74 79.87 72.59
Closest atoms and distances in Å follow each position.
Fractional positions:
In (0.4922, 0.8609, 0.7848)  1 Br 2.88, 2 Ga 2.91, 2 In 3.06
In (0.3924, 0.5527, 0.2602)  2 Ga 2.88-2.92, 1 Br 2.99, 2 In 3.16-3.22
In (0.8242, 0.2220, 0.7454)  1 Br 2.88, 3 Ga 2.94-3.16, 2 In 3.06
In (0.0735, 0.4245, 0.0119)  1 Ga 3.01, 1 Br 3.09, 2 In 3.16-3.22
Ga (0.1821, 0.5621, 0.6980)  2 Ga 2.75-2.83, 5 In 2.91-3.01
Ga (0.7849, 0.5628, 0.4870)  1 Br 2.73, 2 Ga 2.75-2.83, 2 In 2.88-2.92
Br (0.3505, 0.9527, 0.0834)  3 In 2.88-3.09
Br (0.0051, 0.1476, 0.4428)  1 Ga 2.73, 1 In 2.88

- DFT total energy (eV per cell) = -21.85
- raw formation energy (kJ/mol of formula units) = -72
- distance to the lowest polymorph of the same formula (meV per atom) = 14